The following is a DFT calculation (GGA-PBE) of a relaxed structure of NbFeTcHg.

Computed properties:
ΔE to the lowest computed polymorph: 0.171 eV/atom
Energy of formation: 1.4 eV per formula unit
Symmetry: R3m (160)
Crystal system: trigonal
Uncorrected energy: -6.942 eV/atom
Total moment: 0.0001 μB/atom

abc: 5.003 4.227 7.317
angles: 90.00 119.18 90.00
Sites, in units of the cell vectors:
Fe 0.545 0.000 0.207
Fe 0.545 0.500 0.707
Nb 0.885 0.000 0.987
Nb 0.885 0.500 0.487
Hg 0.231 0.000 0.769
Hg 0.231 0.500 0.269
Tc 0.583 0.000 0.553
Tc 0.583 0.500 0.053